Entry 1:
# Co2CuSnSe

An optimized crystal structure of Co2CuSnSe (PBE, the Alexandria database).

extended XYZ file:
```
5
Lattice="4.773 0.000 0.000 0.000 4.773 0.000 0.000 0.000 4.762" Properties=species:S:1:pos:R:3 pbc="T T T"
Co 0.000 2.387 0.000
Co 2.387 0.000 0.000
Cu 0.000 0.000 2.381
Sn 0.000 0.000 0.000
Se 2.387 2.387 2.381
```

The value obtained for the total energy is -19.8 eV per cell. As for the symmetry: P4/mmm.

***

Entry 2:
# CoCu2SnSe4

An optimized crystal structure of CoCu2SnSe4 (PBE, the Alexandria database).

extended XYZ file:
```
16
Lattice="5.694 0.000 0.000 0.000 5.694 0.000 0.000 0.000 11.416" Properties=species:S:1:pos:R:3 pbc="T T T"
Co 0.000 0.000 0.000
Co 2.847 2.847 5.708
Cu 0.000 0.000 5.708
Cu 0.000 2.847 8.562
Cu 2.847 0.000 2.854
Cu 2.847 2.847 0.000
Sn 0.000 2.847 2.854
Sn 2.847 0.000 8.562
Se 1.308 4.197 10.100
Se 1.351 1.539 7.024
Se 1.496 1.308 1.316
Se 1.539 4.343 4.392
Se 4.154 1.351 4.392
Se 4.197 4.386 1.316
Se 4.343 4.154 7.024
Se 4.386 1.496 10.100
```

The value obtained for the total energy is -70.2 eV per cell. As for the symmetry: I-4.

***

Entry 3:
# CoCu2SnSe4

An optimized crystal structure of CoCu2SnSe4 (PBE, the Alexandria database).

extended XYZ file:
```
16
Lattice="5.725 0.000 0.000 0.000 5.725 0.000 0.000 0.000 11.284" Properties=species:S:1:pos:R:3 pbc="T T T"
Co 0.000 0.000 0.000
Co 2.863 2.863 5.642
Cu 0.000 2.863 2.821
Cu 0.000 2.863 8.463
Cu 2.863 0.000 2.821
Cu 2.863 0.000 8.463
Sn 0.000 0.000 5.642
Sn 2.863 2.863 0.000
Se 1.302 1.302 9.789
Se 1.302 4.423 1.495
Se 1.560 1.560 4.147
Se 1.560 4.165 7.137
Se 4.165 1.560 7.137
Se 4.165 4.165 4.147
Se 4.423 1.302 1.495
Se 4.423 4.423 9.789
```

The value obtained for the total energy is -70.2 eV per cell. As for the symmetry: I-42m.

***

Entry 4:
# ZnCoCu3Se4

An optimized crystal structure of ZnCoCu3Se4 (PBE, the Alexandria database).

extended XYZ file:
```
9
Lattice="5.664 0.000 0.000 0.000 5.664 0.000 0.000 0.000 5.664" Properties=species:S:1:pos:R:3 pbc="T T T"
Zn 0.000 0.000 0.000
Co 2.832 2.832 2.832
Cu 0.000 2.832 2.832
Cu 2.832 0.000 2.832
Cu 2.832 2.832 0.000
Se 1.438 1.438 4.227
Se 1.438 4.227 1.438
Se 4.227 1.438 1.438
Se 4.227 4.227 4.227
```

The value obtained for the total energy is -36.2 eV per cell. As for the symmetry: P-43m.

***

Entry 5:
# CoCuSi4

An optimized crystal structure of CoCuSi4 (PBE, the Alexandria database).

extended XYZ file:
```
6
Lattice="0.000 3.457 3.457 3.457 0.000 3.457 3.457 3.457 0.000" Properties=species:S:1:pos:R:3 pbc="T T T"
Co 0.000 0.000 0.000
Cu 5.186 5.186 5.186
Si 2.592 2.592 2.592
Si 4.323 4.323 2.592
Si 4.323 2.592 4.323
Si 2.592 4.323 4.323
```

The value obtained for the total energy is -29.6 eV per cell. As for the symmetry: F-43m.

***

Entry 6:
# CoCuSi

An optimized crystal structure of CoCuSi (PBE, the Alexandria database).

extended XYZ file:
```
12
Lattice="2.663 0.000 0.000 0.000 12.435 0.000 0.000 0.000 4.052" Properties=species:S:1:pos:R:3 pbc="T T T"
Co 0.000 2.235 0.000
Co 0.000 3.982 2.026
Co 0.000 8.453 2.026
Co 0.000 10.200 0.000
Cu 0.000 0.000 1.388
Cu 0.000 6.217 3.414
Cu 1.331 0.000 3.433
Cu 1.331 6.217 1.407
Si 1.331 2.047 2.011
Si 1.331 4.171 4.037
Si 1.331 8.264 4.037
Si 1.331 10.388 2.011
```

The value obtained for the total energy is -69.8 eV per cell. As for the symmetry: Amm2. The calculation puts the energy above the most stable polymorph in this dataset at 0.003 eV per atom.

***

Entry 7:
# CoCuSi

An optimized crystal structure of CoCuSi (PBE, the Alexandria database).

extended XYZ file:
```
12
Lattice="12.700 0.000 0.000 0.000 2.658 0.000 -0.788 0.000 3.972" Properties=species:S:1:pos:R:3 pbc="T T T"
Co 0.650 0.000 1.155
Co 4.913 1.329 2.817
Co 7.000 1.329 1.155
Co 11.263 0.000 2.817
Cu 2.935 1.329 0.995
Cu 2.628 0.000 2.976
Cu 9.285 0.000 0.995
Cu 8.978 1.329 2.976
Si 0.477 1.329 3.162
Si 5.085 0.000 0.810
Si 6.827 0.000 3.162
Si 11.435 1.329 0.810
```

The value obtained for the total energy is -69.9 eV per cell. As for the symmetry: C2/m. The calculation puts the energy above the most stable polymorph in this dataset at 0.000 eV per atom.

***

Entry 8:
# CoCuSi

An optimized crystal structure of CoCuSi (PBE, the Alexandria database).

extended XYZ file:
```
6
Lattice="2.835 0.000 0.000 0.000 2.835 0.000 0.000 0.000 8.510" Properties=species:S:1:pos:R:3 pbc="T T T"
Co 0.000 0.000 0.000
Co 1.417 1.417 4.255
Cu 0.000 0.000 5.896
Cu 1.417 1.417 1.641
Si 0.000 0.000 3.115
Si 1.417 1.417 7.370
```

The value obtained for the total energy is -34.2 eV per cell. As for the symmetry: I4mm. The calculation puts the energy above the most stable polymorph in this dataset at 0.116 eV per atom.

***

Entry 9:
# CoCuSi

An optimized crystal structure of CoCuSi (PBE, the Alexandria database).

extended XYZ file:
```
3
Lattice="3.860 0.000 0.000 -1.930 3.343 0.000 0.000 0.000 2.686" Properties=species:S:1:pos:R:3 pbc="T T T"
Co 0.000 0.000 0.000
Cu 1.930 1.114 1.273
Si 0.000 2.229 2.110
```

The value obtained for the total energy is -17.1 eV per cell. As for the symmetry: P3m1. The calculation puts the energy above the most stable polymorph in this dataset at 0.116 eV per atom.

***

Entry 10:
# CoCuSi

An optimized crystal structure of CoCuSi (PBE, the Alexandria database).

extended XYZ file:
```
12
Lattice="5.378 0.000 0.000 0.000 5.378 0.000 0.000 0.000 5.378" Properties=species:S:1:pos:R:3 pbc="T T T"
Co 0.000 0.000 0.000
Co 0.000 2.689 2.689
Co 2.689 0.000 2.689
Co 2.689 2.689 0.000
Cu 0.000 0.000 2.689
Cu 0.000 2.689 0.000
Cu 2.689 0.000 0.000
Cu 2.689 2.689 2.689
Si 1.344 1.344 4.033
Si 1.344 4.033 1.344
Si 4.033 1.344 1.344
Si 4.033 4.033 4.033
```

The value obtained for the total energy is -67.8 eV per cell. As for the symmetry: F-43m. The calculation puts the energy above the most stable polymorph in this dataset at 0.177 eV per atom.

***

Entry 11:
# CoCuSi

An optimized crystal structure of CoCuSi (PBE, the Alexandria database).

extended XYZ file:
```
6
Lattice="4.055 0.000 0.000 0.000 2.675 0.000 -0.707 0.000 6.198" Properties=species:S:1:pos:R:3 pbc="T T T"
Co 0.668 0.000 2.212
Co 2.679 0.000 3.985
Cu 0.000 1.338 0.000
Cu 2.028 0.000 0.000
Si 0.667 1.338 4.137
Si 2.680 1.338 2.061
```

The value obtained for the total energy is -34.9 eV per cell. As for the symmetry: P2/m. The calculation puts the energy above the most stable polymorph in this dataset at 0.006 eV per atom.

***

Entry 12:
# CoCuSi

An optimized crystal structure of CoCuSi (PBE, the Alexandria database).

extended XYZ file:
```
6
Lattice="2.656 0.000 0.000 1.271 4.261 0.000 0.087 1.982 6.039" Properties=species:S:1:pos:R:3 pbc="T T T"
Co 0.650 0.980 0.742
Co 3.364 5.263 5.297
Cu 0.735 1.969 3.280
Cu 3.279 4.274 2.759
Si 1.960 2.878 1.157
Si 2.053 3.365 4.882
```

The value obtained for the total energy is -34.6 eV per cell. As for the symmetry: P-1. The calculation puts the energy above the most stable polymorph in this dataset at 0.055 eV per atom.

***

Entry 13:
# Co2CuSi2

An optimized crystal structure of Co2CuSi2 (PBE, the Alexandria database).

extended XYZ file:
```
10
Lattice="6.620 0.000 0.000 0.000 6.620 0.000 0.000 0.000 2.599" Properties=species:S:1:pos:R:3 pbc="T T T"
Co 0.969 2.341 0.000
Co 2.341 5.651 0.000
Co 4.278 0.969 0.000
Co 5.651 4.278 0.000
Cu 0.000 0.000 1.299
Cu 3.310 3.310 1.299
Si 0.984 4.294 1.299
Si 2.326 0.984 1.299
Si 4.294 5.635 1.299
Si 5.635 2.326 1.299
```

The value obtained for the total energy is -62.4 eV per cell. As for the symmetry: P4/mbm. The calculation puts the energy above the most stable polymorph in this dataset at 0.000 eV per atom.

***

Entry 14:
# CoCuSi

An optimized crystal structure of CoCuSi (PBE, the Alexandria database).

extended XYZ file:
```
6
Lattice="2.664 0.000 0.000 0.000 3.745 0.000 0.000 0.000 6.869" Properties=species:S:1:pos:R:3 pbc="T T T"
Co 0.666 0.936 0.810
Co 1.998 2.808 6.059
Cu 0.666 2.808 3.850
Cu 1.998 0.936 3.019
Si 0.666 0.936 5.394
Si 1.998 2.808 1.475
```

The value obtained for the total energy is -34.8 eV per cell. As for the symmetry: Pmmn. The calculation puts the energy above the most stable polymorph in this dataset at 0.020 eV per atom.

***

Entry 15:
# Co2Cu4Si

An optimized crystal structure of Co2Cu4Si (PBE, the Alexandria database).

extended XYZ file:
```
14
Lattice="4.360 0.000 0.000 0.000 4.360 0.000 0.000 0.000 11.675" Properties=species:S:1:pos:R:3 pbc="T T T"
Co 0.000 0.000 1.173
Co 0.000 0.000 10.502
Co 2.180 2.180 4.664
Co 2.180 2.180 7.010
Cu 0.000 0.000 3.564
Cu 0.000 0.000 8.110
Cu 0.000 2.180 0.000
Cu 0.000 2.180 5.837
Cu 2.180 0.000 0.000
Cu 2.180 0.000 5.837
Cu 2.180 2.180 2.273
Cu 2.180 2.180 9.402
Si 0.000 0.000 5.837
Si 2.180 2.180 0.000
```

The value obtained for the total energy is -60.8 eV per cell. As for the symmetry: I4/mmm.

***

Entry 16:
# CoCuSi

An optimized crystal structure of CoCuSi (PBE, the Alexandria database).

extended XYZ file:
```
12
Lattice="2.677 0.000 0.000 0.000 12.385 0.000 0.000 0.000 4.046" Properties=species:S:1:pos:R:3 pbc="T T T"
Co 0.000 0.869 0.000
Co 0.000 11.516 2.023
Co 1.339 5.324 2.023
Co 1.339 7.061 0.000
Cu 0.000 3.137 1.433
Cu 0.000 9.248 3.456
Cu 1.339 3.056 3.456
Cu 1.339 9.329 1.433
Si 0.000 5.132 4.010
Si 0.000 7.253 1.987
Si 1.339 1.060 1.987
Si 1.339 11.325 4.010
```

The value obtained for the total energy is -69.8 eV per cell. As for the symmetry: Cmc2_1. The calculation puts the energy above the most stable polymorph in this dataset at 0.005 eV per atom.

***

Entry 17:
# CoCuSi

An optimized crystal structure of CoCuSi (PBE, the Alexandria database).

extended XYZ file:
```
12
Lattice="7.771 0.000 0.000 0.000 3.882 0.000 0.000 0.000 4.866" Properties=species:S:1:pos:R:3 pbc="T T T"
Co 0.718 0.970 0.355
Co 3.167 2.911 2.788
Co 4.603 0.970 2.078
Co 7.053 2.911 4.511
Cu 0.668 2.911 1.956
Cu 3.218 0.970 4.389
Cu 4.553 2.911 0.477
Cu 7.103 0.970 2.909
Si 1.539 2.911 4.292
Si 2.346 0.970 1.860
Si 5.424 2.911 3.006
Si 6.232 0.970 0.573
```

The value obtained for the total energy is -68.9 eV per cell. As for the symmetry: Pnma. The calculation puts the energy above the most stable polymorph in this dataset at 0.078 eV per atom.

***

Entry 18:
# CoCu2Si2

An optimized crystal structure of CoCu2Si2 (PBE, the Alexandria database).

extended XYZ file:
```
10
Lattice="5.941 0.000 0.000 0.000 5.941 0.000 0.000 0.000 3.597" Properties=species:S:1:pos:R:3 pbc="T T T"
Co 0.000 0.000 0.000
Co 2.970 2.970 0.000
Cu 0.939 2.031 1.799
Cu 2.031 5.002 1.799
Cu 3.910 0.939 1.799
Cu 5.002 3.910 1.799
Si 0.864 3.835 0.000
Si 2.106 0.864 0.000
Si 3.835 5.076 0.000
Si 5.076 2.106 0.000
```

The value obtained for the total energy is -52.4 eV per cell. As for the symmetry: P4/mbm.

***

Entry 19:
# CoCuSi3

An optimized crystal structure of CoCuSi3 (PBE, the Alexandria database).

extended XYZ file:
```
5
Lattice="4.322 0.000 0.000 0.000 4.322 0.000 0.000 0.000 4.322" Properties=species:S:1:pos:R:3 pbc="T T T"
Co 0.000 0.000 0.000
Cu 2.161 2.161 2.161
Si 0.000 0.000 2.161
Si 0.000 2.161 0.000
Si 2.161 0.000 0.000
```

The value obtained for the total energy is -25.2 eV per cell. As for the symmetry: Pm-3m. The calculation puts the energy above the most stable polymorph in this dataset at 0.000 eV per atom.

***

Entry 20:
# ThCoCuSi2

An optimized crystal structure of ThCoCuSi2 (PBE, the Alexandria database).

extended XYZ file:
```
10
Lattice="4.080 0.000 0.000 0.000 4.080 0.000 0.000 0.000 9.752" Properties=species:S:1:pos:R:3 pbc="T T T"
Th 0.000 0.000 0.000
Th 2.040 2.040 4.876
Co 0.000 2.040 2.438
Co 2.040 0.000 7.314
Cu 0.000 2.040 7.314
Cu 2.040 0.000 2.438
Si 0.000 0.000 3.636
Si 0.000 0.000 6.116
Si 2.040 2.040 1.240
Si 2.040 2.040 8.512
```

The value obtained for the total energy is -65.5 eV per cell. As for the symmetry: I-4m2.